No. 1
Compound: Ce2Pr3PuS6
Source: Alexandria
Functional: GGA-PBE
Structure: optimized geometry Values from VASP.

Structure (Quantum ESPRESSO input):
```
&SYSTEM
  ibrav = 0, nat = 12, ntyp = 4
/
ATOMIC_SPECIES
Ce 140.12 Ce.upf
S 32.06 S.upf
Pr 140.91 Pr.upf
Pu 244.00 Pu.upf
CELL_PARAMETERS angstrom
7.020 -0.002 0.001
-3.510 6.080 0.001
-1.171 -2.027 6.626
ATOMIC_POSITIONS angstrom
Ce 0.004 4.051 0.001
Ce 3.507 2.028 0.001
S 3.500 2.044 5.032
S -1.161 2.007 1.596
S 2.319 -0.002 1.596
Pr -2.337 4.051 3.314
Pr 4.677 0.000 3.314
Pr 1.170 2.026 3.314
S -0.012 -0.021 5.027
Pu 0.000 0.000 0.000
S 0.021 4.053 5.032
S 2.352 4.073 1.600
```

The calculation puts the formation energy (no corrections) at -2.00 eV/atom. Its space-group type is No. 12. The total magnetic moment is 0.59 μB per atom.

***

No. 2
Compound: Ce3Pr4PuS8
Source: Alexandria
Functional: GGA-PBE
Structure: optimized geometry Values from VASP.

Structure (Quantum ESPRESSO input):
```
&SYSTEM
  ibrav = 0, nat = 16, ntyp = 4
/
ATOMIC_SPECIES
Pr 140.91 Pr.upf
S 32.06 S.upf
Ce 140.12 Ce.upf
Pu 244.00 Pu.upf
CELL_PARAMETERS angstrom
-7.422 0.321 3.264
3.132 -1.715 7.292
2.838 6.301 -4.252
ATOMIC_POSITIONS angstrom
Pr -3.711 0.161 1.632
S 1.893 1.904 4.116
S -3.343 3.003 2.187
Pr -2.292 3.311 -0.494
S -1.814 2.089 5.755
S 0.363 2.819 0.548
Pr 0.000 0.000 0.000
Ce -2.145 -0.697 5.278
S -0.417 5.242 3.618
S 3.323 5.080 1.973
Pr 1.419 3.150 -2.126
Ce 2.985 2.293 1.520
S -1.033 -0.334 2.686
Ce -0.725 2.454 3.152
Pu 1.566 -0.857 3.646
S -4.774 -0.172 4.330
```

The calculation puts the formation energy (no corrections) at -2.01 eV/atom. Its space-group type is No. 166. The total magnetic moment is 0.49 μB per atom.

***

No. 3
Compound: Ce4PrPu3S8
Source: Alexandria
Functional: GGA-PBE
Structure: optimized geometry Values from VASP.

Structure (Quantum ESPRESSO input):
```
&SYSTEM
  ibrav = 0, nat = 16, ntyp = 4
/
ATOMIC_SPECIES
S 32.06 S.upf
Pu 244.00 Pu.upf
Ce 140.12 Ce.upf
Pr 140.91 Pr.upf
CELL_PARAMETERS angstrom
-1.970 -7.719 -0.802
6.568 -1.214 -4.450
0.661 3.226 7.298
ATOMIC_POSITIONS angstrom
S 5.067 0.354 3.733
S 0.193 -6.062 -1.687
S 4.102 -3.429 3.340
Pu 2.299 -4.466 -2.626
Ce -0.985 -3.859 -0.401
Pr 3.284 -0.607 -2.225
S 1.158 -2.278 -1.294
S 4.743 -1.227 0.156
S 1.536 -0.635 2.337
Pu 2.630 -2.854 1.023
Ce 0.331 1.613 3.649
S 3.724 -5.072 -0.291
Ce 0.000 0.000 0.000
S 0.517 -4.481 1.890
Pu 3.615 1.006 1.424
Ce -0.654 -2.247 3.248
```

The calculation puts the formation energy (no corrections) at -1.94 eV/atom. Its space-group type is No. 166. The total magnetic moment is 1.20 μB per atom.

***

No. 4
Compound: Ce3PrPu2S6
Source: Alexandria
Functional: GGA-PBE
Structure: optimized geometry Values from VASP.

Structure (Quantum ESPRESSO input):
```
&SYSTEM
  ibrav = 0, nat = 12, ntyp = 4
/
ATOMIC_SPECIES
Pu 244.00 Pu.upf
Pr 140.91 Pr.upf
S 32.06 S.upf
Ce 140.12 Ce.upf
CELL_PARAMETERS angstrom
-5.384 -3.503 2.656
6.214 -0.302 3.100
-1.856 6.482 1.753
ATOMIC_POSITIONS angstrom
Pu 2.350 -1.368 2.952
Pr 0.000 0.000 0.000
Pu -1.520 -2.436 2.804
S 1.729 1.187 1.967
S -2.228 0.095 1.816
S -2.756 1.490 5.542
S 0.159 -1.226 4.693
Ce -4.406 0.264 3.606
S -1.185 3.903 2.817
Ce 3.380 2.413 3.904
S 1.202 2.582 5.694
Ce -0.513 1.338 3.755
```

The calculation puts the formation energy (no corrections) at -1.95 eV/atom. Its space-group type is No. 12. The total magnetic moment is 1.11 μB per atom.

***

No. 5
Compound: CePr2PuS4
Source: Alexandria
Functional: GGA-PBE
Structure: optimized geometry Values from VASP.

Structure (Quantum ESPRESSO input):
```
&SYSTEM
  ibrav = 0, nat = 8, ntyp = 4
/
ATOMIC_SPECIES
S 32.06 S.upf
Pr 140.91 Pr.upf
Ce 140.12 Ce.upf
Pu 244.00 Pu.upf
CELL_PARAMETERS angstrom
4.037 0.000 0.000
0.000 7.016 0.127
0.000 -2.446 6.593
ATOMIC_POSITIONS angstrom
S 0.000 4.671 1.686
S 2.018 1.125 1.605
Pr 0.000 2.285 3.360
Pr 2.018 -1.223 3.296
S 0.000 -0.102 5.034
Ce 2.018 3.508 0.063
S 2.018 3.445 5.115
Pu 0.000 0.000 0.000
```

The calculation puts the formation energy (no corrections) at -1.97 eV/atom. Its space-group type is No. 10. The total magnetic moment is 0.80 μB per atom.

***

No. 6
Compound: CePr2PuSb4
Source: Alexandria
Functional: GGA-PBE
Structure: optimized geometry Values from VASP.

Structure (Quantum ESPRESSO input):
```
&SYSTEM
  ibrav = 0, nat = 8, ntyp = 4
/
ATOMIC_SPECIES
Ce 140.12 Ce.upf
Sb 121.76 Sb.upf
Pr 140.91 Pr.upf
Pu 244.00 Pu.upf
CELL_PARAMETERS angstrom
-2.717 0.590 3.554
-0.966 -7.726 0.544
6.140 2.172 4.334
ATOMIC_POSITIONS angstrom
Ce -1.842 -3.568 2.049
Sb 0.767 -5.254 1.459
Sb 2.571 -3.883 5.475
Sb -0.114 -1.081 2.957
Pr 2.587 -2.777 2.439
Pr 1.712 1.381 3.944
Pu 0.000 0.000 0.000
Sb 4.407 -0.300 3.419
```

The calculation puts the formation energy (no corrections) at -1.01 eV/atom. Its space-group type is No. 10. The total magnetic moment is 0.74 μB per atom.

***

No. 7
Compound: Ce2PrPuSb4
Source: Alexandria
Functional: GGA-PBE
Structure: optimized geometry Values from VASP.

Structure (Quantum ESPRESSO input):
```
&SYSTEM
  ibrav = 0, nat = 8, ntyp = 4
/
ATOMIC_SPECIES
Pr 140.91 Pr.upf
Ce 140.12 Ce.upf
Sb 121.76 Sb.upf
Pu 244.00 Pu.upf
CELL_PARAMETERS angstrom
-4.467 -0.545 0.103
0.223 -0.348 7.783
-0.954 7.390 -2.248
ATOMIC_POSITIONS angstrom
Pr -2.122 -0.447 3.943
Ce -0.366 3.521 2.767
Sb -2.418 1.491 1.405
Ce -2.711 3.422 -1.072
Sb -0.658 5.430 0.229
Sb -0.074 1.611 5.305
Sb -2.781 5.005 4.233
Pu 0.000 0.000 0.000
```

The calculation puts the formation energy (no corrections) at -0.97 eV/atom. Its space-group type is No. 10. The total magnetic moment is 0.85 μB per atom.

***

No. 8
Compound: CePrPu2Sb4
Source: Alexandria
Functional: GGA-PBE
Structure: optimized geometry Values from VASP.

Structure (Quantum ESPRESSO input):
```
&SYSTEM
  ibrav = 0, nat = 8, ntyp = 4
/
ATOMIC_SPECIES
Pu 244.00 Pu.upf
Pr 140.91 Pr.upf
Sb 121.76 Sb.upf
Ce 140.12 Ce.upf
CELL_PARAMETERS angstrom
-0.668 -3.779 2.258
3.154 -3.981 -5.731
10.154 -3.233 -2.408
ATOMIC_POSITIONS angstrom
Pu 4.743 -3.506 -0.075
Pr 1.243 -3.880 -1.736
Sb 7.555 -4.669 -1.191
Ce 6.654 -3.607 -4.070
Sb 3.224 -6.248 -0.723
Pu 10.154 -3.233 -2.408
Sb 9.416 -4.745 -5.158
Sb 5.085 -6.324 -4.690
```

The calculation puts the formation energy (no corrections) at -0.71 eV/atom. Its space-group type is No. 10. The total magnetic moment is 0.07 μB per atom.

***

no.,Fermi-level density of states (states/eV/cell)
1,17.46
2,22.81
3,39.37
4,28.21
5,12.48
6,21.08
7,25.83
8,38.90